1.
A plane-wave DFT calculation with PBE-GGA was carried out for a relaxed CsErNiSe3 crystal.

Space group ... P2_1/m (11)
Magnetic moment ... 1.27 μB per formula unit
Offset from the most stable computed form ... 0.000 eV/f.u.

Lattice parameters (Å, degrees): 9.7217 4.0763 9.9802 90.00 112.43 90.00
Site moments in Bohr magnetons follow the coordinates.
Fractional coordinates of all 12 atoms:
Se  0.0200  0.2500  0.8340  0.02
Ni  0.4236  0.7500  0.3995  0.77
Cs  0.7152  0.2500  0.2486  0.01
Cs  0.2848  0.7500  0.7514  0.01
Ni  0.5764  0.2500  0.6005  0.77
Se  0.6764  0.7500  0.5485  0.16
Er  0.1718  0.2500  0.1359  0.02
Se  0.3774  0.7500  0.1437  0.10
Er  0.8282  0.7500  0.8641  0.02
Se  0.3236  0.2500  0.4515  0.16
Se  0.9800  0.7500  0.1660  0.02
Se  0.6226  0.2500  0.8563  0.10



2.
A plane-wave DFT calculation with PBE-GGA was carried out for a relaxed CsErNp crystal.

Space group ... F-43m (216)
Magnetic moment ... 7.37 μB per formula unit
Offset from the most stable computed form ... 0.000 eV/f.u.

Lattice parameters (Å, degrees): 6.1170 6.1170 6.1170 60.00 60.00 60.00
Fractional coordinates of all 3 atoms:
Cs  0.2500  0.2500  0.2500
Er  0.0000  0.0000  0.0000
Np  0.7500  0.7500  0.7500



3.
A plane-wave DFT calculation with PBE-GGA was carried out for a relaxed CsErNp crystal.

Space group ... F-43m (216)
Magnetic moment ... 5.13 μB per formula unit
Offset from the most stable computed form ... 0.313 eV/f.u.

Lattice parameters (Å, degrees): 5.3498 5.3498 5.3498 60.00 60.00 60.00
Site moments in Bohr magnetons follow the coordinates.
Fractional coordinates of all 3 atoms:
Er  0.2500  0.2500  0.2500  0.21
Cs  0.0000  0.0000  0.0000  0.04
Np  0.7500  0.7500  0.7500  4.33



4.
A plane-wave DFT calculation with PBE-GGA was carried out for a relaxed Cs2Er2O5 crystal.

Space group ... P4/mmm (123)
Magnetic moment ... 0.00 μB per formula unit
Final energy ... -38.73 eV per cell

Lattice parameters (Å, degrees): 7.3697 4.6519 4.6519 90.00 90.00 90.00
Fractional coordinates of all 9 atoms:
Cs  0.8032  0.5000  0.5000
Er  0.0000  0.0000  0.0000
O  0.7512  0.5000  0.0000
Er  0.5000  0.0000  0.0000
O  0.2488  0.0000  0.5000
O  0.5000  0.5000  0.5000
O  0.7512  0.0000  0.5000
Cs  0.1968  0.5000  0.5000
O  0.2488  0.5000  0.0000



5.
A plane-wave DFT calculation with PBE-GGA was carried out for a relaxed Cs2Er2O5 crystal.

Space group ... P4/mmm (123)
Magnetic moment ... 2.00 μB per formula unit
Final energy ... -55.50 eV per cell

Lattice parameters (Å, degrees): 9.6794 4.3050 4.3050 90.00 90.00 90.00
Site moments in Bohr magnetons follow the coordinates.
Fractional coordinates of all 9 atoms:
O  0.7731  0.5000  0.0000  0.46
Er  0.7174  0.5000  0.5000  -0.06
O  0.5000  0.5000  0.5000  0.02
Cs  0.5000  0.0000  0.0000  0.00
O  0.7731  0.0000  0.5000  0.36
Er  0.2826  0.5000  0.5000  -0.06
Cs  0.0000  0.0000  0.0000  0.02
O  0.2269  0.5000  0.0000  0.46
O  0.2269  0.0000  0.5000  0.36



6.
A plane-wave DFT calculation with PBE-GGA was carried out for a relaxed CsErO2 crystal.

Space group ... P-6m2 (187)
Magnetic moment ... 0.00 μB per formula unit
Final energy ... -51.83 eV per cell

Lattice parameters (Å, degrees): 3.4956 3.4956 13.5346 90.00 90.00 120.00
Fractional coordinates of all 8 atoms:
O  0.0000  0.0000  0.3319
Er  0.3333  0.6667  0.7504
O  0.6667  0.3333  0.1673
O  0.6667  0.3333  0.8327
Er  0.3333  0.6667  0.2496
Cs  0.0000  0.0000  0.0000
O  0.0000  0.0000  0.6681
Cs  0.6667  0.3333  0.5000



7.
A plane-wave DFT calculation with PBE-GGA was carried out for a relaxed CsErO2 crystal.

Space group ... C2/c (15)
Magnetic moment ... 0.00 μB per formula unit
Final energy ... -50.26 eV per cell

Lattice parameters (Å, degrees): 6.0321 6.0321 6.1204 111.51 111.51 94.61
Fractional coordinates of all 8 atoms:
Er  0.9476  0.0524  0.7500
Cs  0.6232  0.3768  0.2500
O  0.0679  0.2576  0.1708
O  0.7424  0.9321  0.3292
O  0.2576  0.0679  0.6708
Cs  0.3768  0.6232  0.7500
Er  0.0524  0.9476  0.2500
O  0.9321  0.7424  0.8292



8.
A plane-wave DFT calculation with PBE-GGA was carried out for a relaxed CsErO2 crystal.

Space group ... P6_3/mmc (194)
Magnetic moment ... 0.00 μB per formula unit
Final energy ... -51.83 eV per cell

Lattice parameters (Å, degrees): 3.4994 3.4994 13.5557 90.00 90.00 120.00
Fractional coordinates of all 8 atoms:
O  0.3333  0.6667  0.9177
Er  0.0000  0.0000  0.0000
Er  0.0000  0.0000  0.5000
Cs  0.6667  0.3333  0.7500
O  0.6667  0.3333  0.4177
O  0.3333  0.6667  0.5823
O  0.6667  0.3333  0.0823
Cs  0.3333  0.6667  0.2500